(1)
VASP calculation (GGA-PBE) on an optimized crystal structure of Pr12NdDy7.

Summary:
calculated volume: 698.2 Å³/cell
space-group type: R-3
Fermi-level density of states: 1.701 states/eV/atom
spin magnetization: 0.00 μB per atom
calculated formation energy: 3.31 kcal/mol of atoms

Cell: 9.507 9.507 9.507 Å, 107.86 107.86 107.86°
Sites, in units of the cell vectors:
Pr 0.052 0.295 0.407
Pr 0.221 0.672 0.378
Pr 0.295 0.407 0.052
Pr 0.328 0.622 0.779
Pr 0.378 0.221 0.672
Pr 0.407 0.052 0.295
Pr 0.593 0.948 0.705
Pr 0.622 0.779 0.328
Pr 0.672 0.378 0.221
Pr 0.705 0.593 0.948
Pr 0.779 0.328 0.622
Pr 0.948 0.705 0.593
Nd 0.000 0.000 0.000
Dy 0.008 0.895 0.320
Dy 0.105 0.680 0.992
Dy 0.320 0.008 0.895
Dy 0.500 0.500 0.500
Dy 0.680 0.992 0.105
Dy 0.895 0.320 0.008
Dy 0.992 0.105 0.680

=====

(2)
VASP calculation (GGA-PBE) on an optimized crystal structure of Pr3Nd6Dy2.

Summary:
calculated volume: 382.8 Å³/cell
space-group type: R-3m
Fermi-level density of states: 1.355 states/eV/atom
spin magnetization: 0.00 μB per atom
calculated formation energy: 0.31 kcal/mol of atoms

Cell: 33.023 33.023 33.023 Å, 6.36 6.36 6.36°
Sites, in units of the cell vectors:
Pr 0.000 0.000 0.000
Pr 0.272 0.272 0.272
Pr 0.728 0.728 0.728
Nd 0.092 0.092 0.092
Nd 0.182 0.182 0.182
Nd 0.364 0.364 0.364
Nd 0.636 0.636 0.636
Nd 0.818 0.818 0.818
Nd 0.908 0.908 0.908
Dy 0.455 0.455 0.455
Dy 0.545 0.545 0.545

=====

(3)
VASP calculation (GGA-PBE) on an optimized crystal structure of Pr3NdDy7.

Summary:
calculated volume: 384.4 Å³/cell
space-group type: P3m1
Fermi-level density of states: 1.544 states/eV/atom
spin magnetization: 0.00 μB per atom
calculated formation energy: 4.02 kcal/mol of atoms

Cell: 7.114 7.114 8.771 Å, 90.00 90.00 120.00°
Sites, in units of the cell vectors:
Pr 0.167 0.334 0.000
Pr 0.167 0.833 0.000
Pr 0.666 0.833 0.000
Nd 0.000 0.000 0.341
Dy 0.002 0.501 0.340
Dy 0.332 0.166 0.664
Dy 0.333 0.667 0.661
Dy 0.499 0.501 0.340
Dy 0.499 0.998 0.340
Dy 0.834 0.166 0.664
Dy 0.834 0.668 0.664

=====

(4)
VASP calculation (GGA-PBE) on an optimized crystal structure of Pr3Nd3Dy2.

Summary:
calculated volume: 559.8 Å³/cell
space-group type: P2_1/m
Fermi-level density of states: 1.735 states/eV/atom
spin magnetization: 0.00 μB per atom
calculated formation energy: 0.74 kcal/mol of atoms

Cell: 5.916 14.817 6.386 Å, 90.00 90.07 90.00°
Sites, in units of the cell vectors:
Pr 0.250 0.000 0.168
Pr 0.250 0.250 0.173
Pr 0.250 0.500 0.168
Pr 0.750 0.000 0.832
Pr 0.750 0.500 0.832
Pr 0.750 0.750 0.827
Nd 0.250 0.125 0.668
Nd 0.250 0.375 0.668
Nd 0.250 0.750 0.162
Nd 0.750 0.250 0.838
Nd 0.750 0.625 0.332
Nd 0.750 0.875 0.332
Dy 0.250 0.626 0.665
Dy 0.250 0.874 0.665
Dy 0.750 0.126 0.335
Dy 0.750 0.374 0.335

=====

(5)
VASP calculation (GGA-PBE) on an optimized crystal structure of PrNdDy2.

Summary:
calculated volume: 133.5 Å³/cell
space-group type: R-3m
Fermi-level density of states: 1.109 states/eV/atom
spin magnetization: 0.00 μB per atom
calculated formation energy: 0.27 kcal/mol of atoms

Cell: 11.914 11.914 11.914 Å, 17.50 17.50 17.50°
Sites, in units of the cell vectors:
Pr 0.000 0.000 0.000
Nd 0.500 0.500 0.500
Dy 0.250 0.250 0.250
Dy 0.750 0.750 0.750

=====

(6)
VASP calculation (GGA-PBE) on an optimized crystal structure of PrNd2Dy2.

Summary:
calculated volume: 345.1 Å³/cell
space-group type: P4/mbm
Fermi-level density of states: 1.152 states/eV/atom
spin magnetization: 0.00 μB per atom
calculated formation energy: 2.01 kcal/mol of atoms

Cell: 9.467 9.467 3.851 Å, 90.00 90.00 90.00°
Sites, in units of the cell vectors:
Pr 0.000 0.000 0.000
Pr 0.500 0.500 0.000
Nd 0.129 0.371 0.000
Nd 0.371 0.871 0.000
Nd 0.629 0.129 0.000
Nd 0.871 0.629 0.000
Dy 0.169 0.669 0.500
Dy 0.331 0.169 0.500
Dy 0.669 0.831 0.500
Dy 0.831 0.331 0.500

=====

(7)
VASP calculation (GGA-PBE) on an optimized crystal structure of Pr6NdDy.

Summary:
calculated volume: 283.8 Å³/cell
space-group type: P4/mmm
Fermi-level density of states: 1.737 states/eV/atom
spin magnetization: 0.00 μB per atom
calculated formation energy: 0.33 kcal/mol of atoms

Cell: 5.215 5.215 10.433 Å, 90.00 90.00 90.00°
Sites, in units of the cell vectors:
Pr 0.000 0.000 0.000
Pr 0.000 0.000 0.500
Pr 0.000 0.500 0.248
Pr 0.000 0.500 0.752
Pr 0.500 0.000 0.248
Pr 0.500 0.000 0.752
Nd 0.500 0.500 0.500
Dy 0.500 0.500 0.000

=====

(8)
VASP calculation (GGA-PBE) on an optimized crystal structure of PrNdDy.

Summary:
calculated volume: 205.6 Å³/cell
space-group type: C2/m
Fermi-level density of states: 1.387 states/eV/atom
spin magnetization: 0.00 μB per atom
calculated formation energy: 0.22 kcal/mol of atoms

Cell: 3.651 3.651 17.805 Å, 90.01 90.01 60.01°
Sites, in units of the cell vectors:
Pr 0.167 0.167 0.085
Pr 0.833 0.833 0.915
Nd 0.500 0.500 0.256
Nd 0.500 0.500 0.744
Dy 0.167 0.167 0.420
Dy 0.833 0.833 0.580

=====

(9)
VASP calculation (GGA-PBE) on an optimized crystal structure of PrNd2Dy2.

Summary:
calculated volume: 170.2 Å³/cell
space-group type: Immm
Fermi-level density of states: 1.442 states/eV/atom
spin magnetization: 0.00 μB per atom
calculated formation energy: 1.12 kcal/mol of atoms

Cell: 8.940 8.940 8.940 Å, 156.94 142.43 44.54°
Sites, in units of the cell vectors:
Pr 0.000 0.000 0.000
Nd 0.213 0.713 0.500
Nd 0.787 0.287 0.500
Dy 0.401 0.401 0.000
Dy 0.599 0.599 0.000

=====

(10)
VASP calculation (GGA-PBE) on an optimized crystal structure of PrNdDy.

Summary:
calculated volume: 102.8 Å³/cell
space-group type: Imm2
Fermi-level density of states: 1.296 states/eV/atom
spin magnetization: 0.00 μB per atom
calculated formation energy: 0.34 kcal/mol of atoms

Cell: 6.309 6.309 6.309 Å, 146.32 131.81 60.08°
Sites, in units of the cell vectors:
Pr 0.000 0.000 0.000
Nd 0.668 0.668 0.000
Dy 0.334 0.334 0.000

=====

(11)
VASP calculation (GGA-PBE) on an optimized crystal structure of PrNd6Dy5.

Summary:
calculated volume: 403.6 Å³/cell
space-group type: C2/m
Fermi-level density of states: 1.239 states/eV/atom
spin magnetization: 0.00 μB per atom
calculated formation energy: 0.30 kcal/mol of atoms

Cell: 6.293 6.293 11.952 Å, 95.03 95.03 120.00°
Sites, in units of the cell vectors:
Pr 0.000 0.000 0.000
Nd 0.084 0.418 0.252
Nd 0.251 0.251 0.748
Nd 0.418 0.084 0.252
Nd 0.582 0.916 0.748
Nd 0.749 0.749 0.252
Nd 0.916 0.582 0.748
Dy 0.167 0.833 0.500
Dy 0.333 0.667 0.000
Dy 0.500 0.500 0.500
Dy 0.667 0.333 0.000
Dy 0.833 0.167 0.500